# In2PtAu2

A geometry-optimized In2PtAu2 structure (PBE-GGA, the Open Quantum Materials Database).

Summary:
E_tot in eV per formula unit: -16.7

Lattice parameters (Å, degrees): 6.842 6.842 6.842 144.80 144.80 50.63
Atoms (fractional coordinates):
Au (0.396, 0.396, 0.000)
Au (0.604, 0.604, 0.000)
In (0.750, 0.250, 0.500)
In (0.250, 0.750, 0.500)
Pt (0.000, 0.000, 0.000)